Here is crystalline NaSr6Hg at its relaxed geometry from the Alexandria database. Energies are from PBE.

For the density of states at the Fermi level, the calculation gives 8.1 states/eV/cell. The volume comes out at 52.39 Å³/atom. Its total energy is -1.47 eV per atom. The total magnetization is 0.00 μB/atom.

The structure belongs to space group P-1 (No. 2); the cell edges are 8.1565, 8.1685 and 8.6478 Å and the angles 90.18°, 117.99° and 119.94°. Symmetry generates all atoms from Na at (0.0000, 0.0000, 0.0000), Sr at (0.1856, 0.4607, 0.2571), Sr at (0.2020, 0.2754, 0.7427), Sr at (0.4675, 0.9270, 0.7428) and Hg at (0.0000, 0.5000, 0.5000).